1.
Here is a relaxed structure of Pr3Si4Ni7 from the Alexandria database. Energies are from GGA-PBE.

abc: 7.784 7.784 9.650
angles: 126.41 126.41 29.54
Sites, in units of the cell vectors:
Pr1 0.000 0.000 0.000
Pr2 0.310 0.310 0.312
Pr3 0.690 0.690 0.688
Si1 0.105 0.105 0.388
Si2 0.324 0.324 0.999
Si3 0.676 0.676 0.001
Si4 0.895 0.895 0.612
Ni1 0.000 0.000 0.500
Ni2 0.126 0.126 0.848
Ni3 0.304 0.304 0.612
Ni4 0.500 0.500 0.281
Ni5 0.500 0.500 0.719
Ni6 0.696 0.696 0.388
Ni7 0.874 0.874 0.152

Results
The energy relative to the elements, uncorrected is -586 meV per atom. For the total energy, the calculation gives -6.050 eV/atom. As for the volume: 16.252 Å³ per atom. Its space-group type is No. 12.

2.
Here is a relaxed structure of GaNiAgPd2 from the Alexandria database. Energies are from GGA-PBE.

abc: 4.957 4.957 4.614
angles: 90.00 90.00 90.00
Sites, in units of the cell vectors:
Ga1 0.000 0.000 0.000
Ni1 0.500 0.500 0.000
Ag1 0.500 0.500 0.500
Pd1 0.000 0.500 0.500
Pd2 0.500 0.000 0.500

Results
For the total energy, the calculation gives -3.356 eV/atom. As for the volume: 22.672 Å³ per atom. Its space-group type is No. 123. The calculation puts the energy of formation from the pure elements at 1.053 eV/atom.